Here is a relaxed LiTaCdPt crystal from OQMD via LeMat-Bulk. Energies are from PBE.

Geometry as CIF:
```
data_LiTaCdPt
_chemical_formula_sum 'Li4 Ta4 Cd4 Pt4'
_cell_length_a 6.3698
_cell_length_b 6.3698
_cell_length_c 6.3698
_cell_angle_alpha 90.00
_cell_angle_beta 90.00
_cell_angle_gamma 90.00
_symmetry_space_group_name_H-M 'F -4 3 m'
_symmetry_Int_Tables_number 216
_symmetry_space_group_name_Hall 'F -4 2 3'
loop_
_atom_site_label
_atom_site_fract_x
_atom_site_fract_y
_atom_site_fract_z
Li1 0.0000 0.0000 0.0000
Ta1 0.2500 0.2500 0.7500
Cd1 0.0000 0.0000 0.5000
Pt1 0.2500 0.2500 0.2500
```

Properties
As for the energy relative to the lowest polymorph listed for this composition: 0.491 eV per atom. As for the spin magnetization: 0.000 μB/atom.

Here is a relaxed CuAg6 crystal from OQMD via LeMat-Bulk. Energies are from PBE.

Geometry as CIF:
```
data_CuAg6
_chemical_formula_sum 'Cu2 Ag12'
_cell_length_a 12.4010
_cell_length_b 2.9210
_cell_length_c 7.0898
_cell_angle_alpha 90.00
_cell_angle_beta 110.98
_cell_angle_gamma 90.00
_symmetry_space_group_name_H-M 'C 1 2/m 1'
_symmetry_Int_Tables_number 12
_symmetry_space_group_name_Hall '-C 2y'
loop_
_atom_site_label
_atom_site_fract_x
_atom_site_fract_y
_atom_site_fract_z
Cu1 0.0000 0.0000 0.0000
Ag1 0.0705 0.5000 0.7249
Ag2 0.1413 0.0000 0.4305
Ag3 0.2069 0.5000 0.1394
```

Properties
The formation energy comes out at 27 kJ/mol of formula units. As for the energy relative to the lowest polymorph listed for this composition: 0.012 eV per atom.

Here is a relaxed ScBeCoBi crystal from OQMD via LeMat-Bulk. Energies are from PBE.

Geometry as CIF:
```
data_ScBeCoBi
_chemical_formula_sum 'Sc4 Be4 Co4 Bi4'
_cell_length_a 6.4552
_cell_length_b 6.4552
_cell_length_c 6.4552
_cell_angle_alpha 90.00
_cell_angle_beta 90.00
_cell_angle_gamma 90.00
_symmetry_space_group_name_H-M 'F -4 3 m'
_symmetry_Int_Tables_number 216
_symmetry_space_group_name_Hall 'F -4 2 3'
loop_
_atom_site_label
_atom_site_fract_x
_atom_site_fract_y
_atom_site_fract_z
Sc1 0.0000 0.0000 0.0000
Be1 0.0000 0.0000 0.5000
Co1 0.2500 0.2500 0.7500
Bi1 0.2500 0.2500 0.2500
```

Properties
As for the energy relative to the lowest polymorph listed for this composition: 0.179 eV per atom. As for the spin magnetization: 0.018 μB/atom.

Repeat the third record exactly.
Here is a relaxed ScBeCoBi crystal from OQMD via LeMat-Bulk. Energies are from PBE.

Geometry as CIF:
```
data_ScBeCoBi
_chemical_formula_sum 'Sc4 Be4 Co4 Bi4'
_cell_length_a 6.4552
_cell_length_b 6.4552
_cell_length_c 6.4552
_cell_angle_alpha 90.00
_cell_angle_beta 90.00
_cell_angle_gamma 90.00
_symmetry_space_group_name_H-M 'F -4 3 m'
_symmetry_Int_Tables_number 216
_symmetry_space_group_name_Hall 'F -4 2 3'
loop_
_atom_site_label
_atom_site_fract_x
_atom_site_fract_y
_atom_site_fract_z
Sc1 0.0000 0.0000 0.0000
Be1 0.0000 0.0000 0.5000
Co1 0.2500 0.2500 0.7500
Bi1 0.2500 0.2500 0.2500
```

Properties
As for the energy relative to the lowest polymorph listed for this composition: 0.179 eV per atom. As for the spin magnetization: 0.018 μB/atom.

Question: energy relative to the lowest polymorph listed for this composition of number 3 (ScBeCoBi)?
Answer: 0.179 eV per atom

What did the second record say?
Here is a relaxed CuAg6 crystal from OQMD via LeMat-Bulk. Energies are from PBE.

Geometry as CIF:
```
data_CuAg6
_chemical_formula_sum 'Cu2 Ag12'
_cell_length_a 12.4010
_cell_length_b 2.9210
_cell_length_c 7.0898
_cell_angle_alpha 90.00
_cell_angle_beta 110.98
_cell_angle_gamma 90.00
_symmetry_space_group_name_H-M 'C 1 2/m 1'
_symmetry_Int_Tables_number 12
_symmetry_space_group_name_Hall '-C 2y'
loop_
_atom_site_label
_atom_site_fract_x
_atom_site_fract_y
_atom_site_fract_z
Cu1 0.0000 0.0000 0.0000
Ag1 0.0705 0.5000 0.7249
Ag2 0.1413 0.0000 0.4305
Ag3 0.2069 0.5000 0.1394
```

Properties
The formation energy comes out at 27 kJ/mol of formula units. As for the energy relative to the lowest polymorph listed for this composition: 0.012 eV per atom.